VASP calculation (PBE) on a geometry-optimized Te2HIF structure.

Cell and atoms, written as extended XYZ:
```
5
Lattice="-2.1629 3.3785 -2.0362 -0.3582 -2.4808 -3.7357 -4.4725 -1.8602 1.6642" Properties=species:S:1:pos:R:3 pbc="T T T"
Te -0.1791 -1.2404 -1.8679
Te -1.0814 1.6893 -1.0181
I -2.2362 -0.9301 0.8321
H 0.0000 0.0000 0.0000
F -3.4968 -0.4813 -2.0539
```

distance to the lowest polymorph of the same formula	0	meV/atom

VASP calculation (PBE) on a geometry-optimized ZnNiRu structure.

Cell and atoms, written as extended XYZ:
```
3
Lattice="3.9828 0.0000 0.0000 1.9914 3.4492 0.0000 1.9914 1.1497 3.2519" Properties=species:S:1:pos:R:3 pbc="T T T"
Zn 3.9828 2.2995 1.6260
Ni 5.9742 3.4492 2.4389
Ru 0.0000 0.0000 0.0000
```

energy of formation	0.31	eV/atom
distance to the lowest polymorph of the same formula	306	meV/atom

VASP calculation (PBE) on a geometry-optimized Pm4CoPd3 structure.

Cell and atoms, written as extended XYZ:
```
8
Lattice="3.8464 0.0000 0.0000 0.0000 4.5368 0.0000 0.0000 0.0000 10.6937" Properties=species:S:1:pos:R:3 pbc="T T T"
Pm 1.9232 0.0000 6.8117
Pd 0.0000 0.0000 4.4535
Pm 1.9232 2.2684 3.7280
Pd 0.0000 2.2684 6.2574
Pd 1.9232 0.0000 9.8373
Co 1.9232 2.2684 0.8968
Pm 0.0000 0.0000 1.4630
Pm 0.0000 2.2684 9.3270
```

energy of formation	-0.62	eV/atom

VASP calculation (PBE) on a geometry-optimized ScPdN2O structure.

Cell and atoms, written as extended XYZ:
```
5
Lattice="-1.3114 2.0213 -3.0320 2.9005 -1.3716 -2.1689 -2.3037 -3.1386 -1.0959" Properties=species:S:1:pos:R:3 pbc="T T T"
Pd 0.0000 0.0000 0.0000
N 1.4503 -0.6858 -1.0845
O -1.1519 -1.5693 -0.5480
Sc -0.3573 -1.2445 -3.1485
N -0.6557 1.0106 -1.5160
```

raw formation energy	0.322	eV/atom

VASP calculation (PBE) on a geometry-optimized Ca4Ta2O9 structure.

Cell and atoms, written as extended XYZ:
```
30
Lattice="5.7029 -0.0019 0.0095 -2.8499 4.9396 -0.0045 -0.0262 -0.0010 15.2317" Properties=species:S:1:pos:R:3 pbc="T T T"
Ca 2.8347 1.6442 9.8070
Ta -0.0224 3.2909 12.9687
O 3.5267 3.2196 1.4719
O 2.3286 0.1646 3.8135
O 3.8764 0.2737 1.4732
Ca -0.0013 3.2927 2.1543
O -0.6999 1.7172 13.7648
O 3.4918 3.2502 6.1076
O 1.1275 1.4061 6.1040
O -1.0496 4.6631 13.7635
O -1.0795 4.6564 9.1279
O 1.1506 1.4445 1.4661
O 1.6993 3.5307 9.1328
Ca 2.8329 4.9367 11.2703
O 3.9063 0.2804 6.1089
Ca 2.8281 1.6441 13.0824
Ta 2.8433 1.6454 5.3100
Ta -0.0165 3.2914 9.9268
Ca 0.0000 0.0000 0.0000
Ca -0.0061 0.0001 3.9665
O 1.8222 2.8343 3.8125
O 1.0046 2.1025 11.4242
O 4.3881 1.9381 3.8176
Ca -0.0079 3.2926 5.4297
O -1.5613 2.9987 11.4192
O -0.6650 1.6866 9.1291
O 1.6762 3.4923 13.7706
O 0.4982 4.7722 11.4232
Ca -0.0131 -0.0005 7.6159
Ta 2.8492 1.6459 2.2680
```

raw formation energy	-3.051	eV/atom
distance to the lowest polymorph of the same formula	18	meV/atom

VASP calculation (PBE) on a geometry-optimized Ag2BiTe3 structure.

Cell and atoms, written as extended XYZ:
```
12
Lattice="4.4519 0.0000 0.0000 0.0000 7.8787 0.9948 0.0000 -1.8489 10.4248" Properties=species:S:1:pos:R:3 pbc="T T T"
Bi 3.3390 0.6830 7.5657
Bi 1.1130 5.3468 3.8538
Te 1.1130 1.3124 5.1864
Te 1.1130 -1.0425 8.9274
Ag 3.3390 -0.3173 4.3418
Ag 1.1130 6.3471 7.0778
Ag 3.3390 4.3179 1.5266
Te 3.3390 4.7174 6.2332
Te 1.1130 2.7306 2.2167
Te 3.3390 3.2992 9.2029
Te 3.3390 7.0723 2.4922
Ag 1.1130 1.7119 9.8930
```

raw formation energy	-0.038	eV/atom

VASP calculation (PBE) on a geometry-optimized KBe2Al structure.

Cell and atoms, written as extended XYZ:
```
8
Lattice="3.6194 0.0000 -0.0501 0.0000 4.3229 0.0000 -1.7218 0.0000 11.9192" Properties=species:S:1:pos:R:3 pbc="T T T"
K 0.8974 1.0807 2.1889
Be 0.9488 2.1615 5.9346
Be 2.7486 1.0807 5.2709
Be -0.8510 3.2422 6.5983
Al -0.8370 1.0807 7.6558
Be 0.9488 0.0000 5.9346
Al 2.7346 3.2422 4.2134
K 1.0002 3.2422 9.6803
```

energy of formation	0.18	eV/atom

VASP calculation (PBE) on a geometry-optimized PuAlCuHg structure.

Cell and atoms, written as extended XYZ:
```
4
Lattice="-2.7529 -2.6597 3.0176 1.3560 -0.6022 4.6430 -2.5028 2.1765 3.5717" Properties=species:S:1:pos:R:3 pbc="T T T"
Cu -0.9749 -0.2713 2.8081
Pu -1.9499 -0.5427 5.6161
Al 0.0000 0.0000 0.0000
Hg -2.9248 -0.8140 8.4242
```

energy of formation	-0.01	eV/atom

VASP calculation (PBE) on a geometry-optimized ReSb2Cl structure.

Cell and atoms, written as extended XYZ:
```
4
Lattice="3.1448 0.0091 0.0000 -1.6900 2.6521 0.0000 0.0000 0.0000 11.3302" Properties=species:S:1:pos:R:3 pbc="T T T"
Cl 0.0000 0.0000 6.4702
Sb 0.0000 0.0000 10.7241
Sb 0.7274 1.3306 2.8117
Re 0.7274 1.3306 8.3196
```

raw formation energy	0.511	eV/atom
distance to the lowest polymorph of the same formula	399	meV/atom

VASP calculation (PBE) on a geometry-optimized CsCo3Ge structure.

Cell and atoms, written as extended XYZ:
```
5
Lattice="4.7504 0.0000 0.0000 0.0000 4.7504 0.0000 0.0000 0.0000 4.7504" Properties=species:S:1:pos:R:3 pbc="T T T"
Co 0.0000 2.3752 0.0000
Co 2.3752 0.0000 0.0000
Co 0.0000 0.0000 2.3752
Ge 2.3752 2.3752 2.3752
Cs 0.0000 0.0000 0.0000
```

energy of formation	2.44	eV/atom
distance to the lowest polymorph of the same formula	1402	meV/atom

VASP calculation (PBE) on a geometry-optimized K3DyNp2S6 structure.

Cell and atoms, written as extended XYZ:
```
12
Lattice="-6.6592 -0.2413 -2.3503 3.2215 -5.9268 2.1027 -1.3141 3.1516 6.9399" Properties=species:S:1:pos:R:3 pbc="T T T"
K 0.9222 -3.4060 4.8325
S -1.9623 0.8787 5.4761
K -2.3759 -1.5082 3.3462
Np -0.0714 -4.0320 0.6187
S -2.0402 -3.1572 6.0913
S -2.7895 -3.8952 1.2162
Np -3.3663 -2.1361 -0.8663
K -5.6740 0.3895 1.8598
S -5.3275 -1.2657 4.6098
Dy 0.0000 0.0000 0.0000
S -2.7116 0.1407 0.6010
S 0.5757 -1.7508 2.0825
```

raw formation energy	-1.548	eV/atom

VASP calculation (PBE) on a geometry-optimized Ca2InRu structure.

Cell and atoms, written as extended XYZ:
```
4
Lattice="-1.7641 -4.1664 -0.4832 1.8472 -1.1730 3.3704 -3.6855 1.0082 4.7623" Properties=species:S:1:pos:R:3 pbc="T T T"
In -0.5792 -0.3002 4.7032
Ru -2.5981 -1.9899 5.2186
Ca -1.5891 -2.0722 2.2448
Ca -1.5935 -0.2162 7.6819
```

energy of formation	-0.02	eV/atom

Repeat the tenth record exactly.
VASP calculation (PBE) on a geometry-optimized CsCo3Ge structure.

Cell and atoms, written as extended XYZ:
```
5
Lattice="4.7504 0.0000 0.0000 0.0000 4.7504 0.0000 0.0000 0.0000 4.7504" Properties=species:S:1:pos:R:3 pbc="T T T"
Co 0.0000 2.3752 0.0000
Co 2.3752 0.0000 0.0000
Co 0.0000 0.0000 2.3752
Ge 2.3752 2.3752 2.3752
Cs 0.0000 0.0000 0.0000
```

energy of formation	2.44	eV/atom
distance to the lowest polymorph of the same formula	1402	meV/atom